Record 1
The following is a GGA-PBE calculation of Sc4ZnCdAg2 after structural relaxation, from Alexandria.

Cell: 4.8688 4.8688 23.8417 Å, 90.00 90.00 120.00°
Space group R-3m (No. 166, hexagonal axes)
One atom of each set of equivalent atoms:
Sc 0.0000 0.0000 0.1208 [6 per cell]
Sc 0.0000 0.0000 0.3712 [6 per cell]
Zn 0.0000 0.0000 0.0000 [3 per cell]
Cd 0.0000 0.0000 0.5000 [3 per cell]
Ag 0.0000 0.0000 0.2478 [6 per cell]

Results
Fermi-level density of states: 0.885 states/eV per atom
magnetization: 0.0 μB/cell
E_form: -0.29 eV per atom

Record 2
The following is a GGA-PBE calculation of ZrScCdAg after structural relaxation, from Alexandria.

Cell: 6.9778 6.9778 6.9778 Å, 90.00 90.00 90.00°
Space group F-43m (No. 216)
One atom of each set of equivalent atoms:
Zr 0.0000 0.0000 0.0000 [4 per cell]
Sc 0.0000 0.0000 0.5000 [4 per cell]
Cd 0.2500 0.2500 0.2500 [4 per cell]
Ag 0.2500 0.2500 0.7500 [4 per cell]

Results
Fermi-level density of states: 1.224 states/eV per atom
magnetization: 4.1 μB/cell
E_form: -0.12 eV per atom